1.
Compound: Al2CuOs
Source: Alexandria via LeMat-Bulk
Functional: GGA-PBE
Structure: relaxed

Computed properties:
**Formation energy from the elements**: 271.8 meV/atom
**Electronic total energy**: -5.4309 eV per atom
**Total magnetization**: 0.00 μB per formula unit
**Density of states at the Fermi level**: 2.44 states/eV/f.u.

Cell lengths 6.7082, 6.7082, 5.4437 Å; angles 51.96, 51.96, 90.00 degrees
With the nearest neighbours (Å) after each atom.
Sites, in units of the cell vectors:
Os (0.0000, 0.0000, 0.0000)  4 Al 2.52, 2 Cu 2.67
Os (0.7500, 0.2500, 0.5000)  4 Al 2.52, 2 Cu 2.67
Al (0.6129, 0.1250, 0.2500)  2 Cu 2.41, 2 Os 2.52, 2 Al 2.68
Al (0.1371, 0.6250, 0.2500)  2 Cu 2.41, 2 Os 2.52, 2 Al 2.68
Al (0.3750, 0.3871, 0.7500)  2 Cu 2.41, 2 Os 2.52, 2 Al 2.68
Al (0.8750, 0.8629, 0.7500)  2 Cu 2.41, 2 Os 2.52, 2 Al 2.68
Cu (0.5000, 0.5000, 0.0000)  4 Al 2.41, 2 Os 2.67
Cu (0.2500, 0.7500, 0.5000)  4 Al 2.41, 2 Os 2.67

=====

2.
Compound: Al2CuOs
Source: Alexandria via LeMat-Bulk
Functional: GGA-PBE
Structure: relaxed

Computed properties:
**Formation energy from the elements**: -354.9 meV/atom
**Electronic total energy**: -6.0576 eV per atom
**Total magnetization**: 0.00 μB per formula unit
**Density of states at the Fermi level**: 1.70 states/eV/f.u.

Cell lengths 4.2102, 4.2102, 3.0481 Å; angles 90.00, 90.00, 90.00 degrees
With the nearest neighbours (Å) after each atom.
Sites, in units of the cell vectors:
Os (0.0000, 0.5000, 0.5000)  8 Al 2.60
Al (0.0000, 0.0000, 0.0000)  4 Cu 2.60, 4 Os 2.60
Al (0.5000, 0.5000, 0.0000)  4 Os 2.60, 4 Cu 2.60
Cu (0.5000, 0.0000, 0.5000)  8 Al 2.60

=====

3.
Compound: AlCu2Os
Source: Alexandria via LeMat-Bulk
Functional: GGA-PBE
Structure: relaxed

Computed properties:
**Formation energy from the elements**: 201.9 meV/atom
**Electronic total energy**: -5.5893 eV per atom
**Total magnetization**: 0.00 μB per formula unit
**Density of states at the Fermi level**: 2.19 states/eV/f.u.

Cell lengths 2.6533, 2.6533, 8.6569 Å; angles 90.00, 90.00, 117.20 degrees
With the nearest neighbours (Å) after each atom.
Sites, in units of the cell vectors:
Os (0.5000, 0.5000, 0.2500)  4 Cu 2.64, 6 Os 2.65-2.76
Al (0.5000, 0.5000, 0.7500)  4 Cu 2.50, 6 Al 2.65-2.76
Cu (0.0000, 0.0000, 0.9907)  2 Al 2.50, 2 Os 2.64, 6 Cu 2.65-2.76
Cu (0.0000, 0.0000, 0.5093)  2 Al 2.50, 2 Os 2.64, 6 Cu 2.65-2.76

=====

4.
Compound: AlCu2Os
Source: Alexandria via LeMat-Bulk
Functional: GGA-PBE
Structure: relaxed

Computed properties:
**Formation energy from the elements**: 16.3 meV/atom
**Electronic total energy**: -5.7748 eV per atom
**Total magnetization**: 0.00 μB per formula unit
**Density of states at the Fermi level**: 1.58 states/eV/f.u.

Cell lengths 4.5677, 4.5677, 4.6139 Å; angles 78.43, 78.43, 34.20 degrees
With the nearest neighbours (Å) after each atom.
Sites, in units of the cell vectors:
Os (0.5016, 0.5016, 0.4839)  3 Al 2.59, 7 Cu 2.65-2.76, 2 Os 2.69
Al (0.2522, 0.2522, 0.2627)  3 Os 2.59, 7 Cu 2.63-2.80, 2 Al 2.69
Cu (0.9982, 0.9982, 0.9811)  5 Cu 2.57-2.69, 3 Al 2.63-2.80, 4 Os 2.65-2.69
Cu (0.7480, 0.7480, 0.7723)  5 Cu 2.57-2.69, 4 Al 2.64-2.70, 3 Os 2.69-2.76